CeAg2PdS4 after structural relaxation, computed with PBE.

Its total energy is -153.0 eV/cell. For the total magnetic moment, the calculation gives 0.0 μB per formula unit.

The space group is Cmcm (No. 63) and the conventional cell measures 3.953, 13.242 and 12.393 Å, with angles of 90.00, 90.00 and 90.00 degrees. The distinct sites, in fractional coordinates, are Ce at (0.000, 0.094, 0.250), Ag at (0.000, 0.380, 0.060), Pd at (0.000, 0.172, 0.750), S at (0.000, 0.000, 0.000), S at (0.000, 0.309, 0.626) and S at (0.000, 0.444, 0.250).

=====

Ce3Ag3PdS8 after structural relaxation, computed with PBE.

Its total energy is -158.9 eV/cell. For the total magnetic moment, the calculation gives 1.2 μB per formula unit.

The space group is C2/m (No. 12) and the conventional cell measures 12.980, 8.044 and 7.709 Å, with angles of 90.00, 122.42 and 90.00 degrees. The distinct sites, in fractional coordinates, are Ce at (0.000, 0.000, 0.000), Ce at (0.250, 0.250, 0.500), Ag at (0.000, 0.500, 0.500), Ag at (0.250, 0.250, 0.000), Pd at (0.000, 0.500, 0.000), S at (0.000, 0.259, 0.238), S at (0.224, 0.500, 0.225) and S at (0.249, 0.500, 0.746).

=====

CeScAgPd after structural relaxation, computed with PBE.

The calculation puts the formation energy from the elements at -390 meV per atom. For the total magnetic moment, the calculation gives 0.9 μB per formula unit.

The space group is F-43m (No. 216) and the conventional cell measures 7.061, 7.061 and 7.061 Å, with angles of 90.00, 90.00 and 90.00 degrees. The distinct sites, in fractional coordinates, are Ce at (0.000, 0.000, 0.000), Sc at (0.000, 0.000, 0.500), Ag at (0.250, 0.250, 0.250) and Pd at (0.250, 0.250, 0.750).

=====

CeAgPdSe3 after structural relaxation, computed with PBE.

Its total energy is -58.6 eV/cell. For the total magnetic moment, the calculation gives 0.0 μB per formula unit.

The space group is P2_1/m (No. 11) and the conventional cell measures 7.712, 4.071 and 9.028 Å, with angles of 90.00, 101.78 and 90.00 degrees. The distinct sites, in fractional coordinates, are Ce at (0.183, 0.250, 0.236), Ag at (0.337, 0.750, 0.822), Pd at (0.111, 0.250, 0.602), Se at (0.082, 0.250, 0.882), Se at (0.231, 0.750, 0.487) and Se at (0.413, 0.750, 0.154).

=====

Ce3Ag3PdSe8 after structural relaxation, computed with PBE.

Its total energy is -146.5 eV/cell. For the total magnetic moment, the calculation gives 1.5 μB per formula unit.

The space group is C2/m (No. 12) and the conventional cell measures 13.693, 8.338 and 8.028 Å, with angles of 90.00, 122.59 and 90.00 degrees. The distinct sites, in fractional coordinates, are Ce at (0.000, 0.000, 0.000), Ce at (0.250, 0.250, 0.500), Ag at (0.000, 0.500, 0.500), Ag at (0.250, 0.250, 0.000), Pd at (0.000, 0.500, 0.000), Se at (0.002, 0.268, 0.767), Se at (0.230, 0.500, 0.227) and Se at (0.250, 0.000, 0.250).

=====

Ce3Si6AgPd2 after structural relaxation, computed with PBE.

Its total energy is -68.1 eV/cell. For the total magnetic moment, the calculation gives 1.6 μB per formula unit.

The space group is P-3m1 (No. 164) and the conventional cell measures 5.7917, 5.7917 and 8.1737 Å, with angles of 90.00, 90.00 and 120.00 degrees. The distinct sites, in fractional coordinates, are Ce at (0.0000, 0.0000, 0.0000), Ce at (0.3333, 0.6667, 0.6194), Si at (0.1926, 0.3853, 0.2795), Ag at (0.0000, 0.0000, 0.5000) and Pd at (0.3333, 0.6667, 0.0271).

=====

> Among the records above, which one has the highest total magnetic moment?

Ce3Si6AgPd2